VASP calculation (PBE+U) on an optimized crystal structure of MnO2.

Computed properties:
spin magnetization: 1.000 μB per atom
V: 32.77 Å³/f.u.
space-group type: Pnma (62)
mass density: 4.4 g/cm3
total DFT energy (no corrections): -7.100 eV per atom

a b c (Å): 8.6375 2.9227 10.3849
angles (deg): 90.00 90.00 90.00
Sites, in units of the cell vectors:
Mn: 0.0543 0.2500 0.1154
Mn: 0.0855 0.2500 0.6011
Mn: 0.4145 0.7500 0.1011
Mn: 0.4457 0.7500 0.6154
Mn: 0.5543 0.2500 0.3846
Mn: 0.5855 0.2500 0.8989
Mn: 0.9145 0.7500 0.3989
Mn: 0.9457 0.7500 0.8846
O: 0.0363 0.7500 0.7130
O: 0.0839 0.2500 0.9302
O: 0.1170 0.7500 0.4802
O: 0.1943 0.7500 0.1504
O: 0.3057 0.2500 0.6504
O: 0.3830 0.2500 0.9802
O: 0.4161 0.7500 0.4302
O: 0.4637 0.2500 0.2130
O: 0.5363 0.7500 0.7870
O: 0.5839 0.2500 0.5698
O: 0.6170 0.7500 0.0198
O: 0.6943 0.7500 0.3496
O: 0.8057 0.2500 0.8496
O: 0.8830 0.2500 0.5198
O: 0.9161 0.7500 0.0698
O: 0.9637 0.2500 0.2870

VASP calculation (PBE+U) on an optimized crystal structure of NiTePdO6.

Computed properties:
spin magnetization: 0.224 μB per atom
V: 100.46 Å³/f.u.
space-group type: P4_2nm (102)
mass density: 6.4 g/cm3
total DFT energy (no corrections): -5.296 eV per atom

a b c (Å): 4.6405 4.6405 9.3307
angles (deg): 90.00 90.00 90.00
Sites, in units of the cell vectors:
Ni: 0.0000 0.0000 0.0000
Ni: 0.5000 0.5000 0.5000
Te: 0.0000 0.0000 0.3322
Te: 0.5000 0.5000 0.8322
Pd: 0.0000 0.0000 0.6675
Pd: 0.5000 0.5000 0.1675
O: 0.1901 0.1901 0.4957
O: 0.1916 0.1916 0.1705
O: 0.1990 0.1990 0.8343
O: 0.3010 0.6990 0.3343
O: 0.3084 0.6916 0.6705
O: 0.3099 0.6901 0.9957
O: 0.6901 0.3099 0.9957
O: 0.6916 0.3084 0.6705
O: 0.6990 0.3010 0.3343
O: 0.8010 0.8010 0.8343
O: 0.8084 0.8084 0.1705
O: 0.8099 0.8099 0.4957

Question: The lowest V belongs to which entry?
Answer: MnO2